VASP calculation (PBE-GGA) on a relaxed CsVCl4 crystal.

The formation energy without anion corrections is -1466 meV/atom. The value obtained for the density of states at the Fermi level is 25.4 states/eV/cell.

The space group is C2/m (No. 12) and the conventional cell measures 17.783, 7.398 and 6.345 Å, with angles of 90.00, 95.88 and 90.00 degrees. The asymmetric unit holds Cs at (0.174, 0.000, 0.216), V at (0.093, 0.500, 0.884), Cl at (0.000, 0.292, 0.000), Cl at (0.140, 0.270, 0.695) and Cl at (0.177, 0.500, 0.171).

---

VASP calculation (PBE-GGA) on a relaxed CaCo2TeCl crystal.

The formation energy without anion corrections is 165 meV/atom. The value obtained for the density of states at the Fermi level is 5.4 states/eV/cell.

The space group is P4/mmm (No. 123) and the conventional cell measures 4.593, 4.593 and 6.580 Å, with angles of 90.00, 90.00 and 90.00 degrees. The asymmetric unit holds Ca at (0.000, 0.000, 0.000), Co at (0.000, 0.500, 0.500), Te at (0.500, 0.500, 0.500) and Cl at (0.500, 0.500, 0.000).

---

VASP calculation (PBE-GGA) on a relaxed CuSeCl2 crystal.

The formation energy without anion corrections is -144 meV/atom. The value obtained for the density of states at the Fermi level is 1.7 states/eV/cell.

The space group is P4mm (No. 99) and the conventional cell measures 3.500, 3.500 and 7.896 Å, with angles of 90.00, 90.00 and 90.00 degrees. The asymmetric unit holds Cu at (0.000, 0.000, 0.000), Se at (0.500, 0.500, 0.092), Cl at (0.000, 0.000, 0.728) and Cl at (0.500, 0.500, 0.369).

---

VASP calculation (PBE-GGA) on a relaxed CaSm8Ga6 crystal.

For the calculated formation energy, the calculation gives -0.35 eV per atom. The value obtained for the density of states at the Fermi level is 59.4 states/eV/cell.

The space group is R-3 (No. 148, hexagonal axes) and the conventional cell measures 8.8703, 8.8703 and 18.6638 Å, with angles of 90.00, 90.00 and 120.00 degrees. The asymmetric unit holds Ca at (0.0000, 0.0000, 0.0000), Sm at (0.0000, 0.0000, 0.3347), Sm at (0.0008, 0.3283, 0.1105) and Ga at (0.0008, 0.3361, 0.9422).